# NbOs2Rh, optimized geometry, DFT GGA-PBE
# ΔH_f (0 K)   190 kJ/mol of formula units
data_NbOs2Rh
_chemical_formula_sum 'Nb4 Os8 Rh4'
_cell_length_a 3.842
_cell_length_b 3.842
_cell_length_c 18.238
_cell_angle_alpha 90.00
_cell_angle_beta 90.00
_cell_angle_gamma 90.00
_space_group_name_H-M_alt 'I -4 2 d'
_space_group_IT_number 122
_space_group_name_Hall 'I -4 2bw'
loop_
_atom_site_label
_atom_site_fract_x
_atom_site_fract_y
_atom_site_fract_z
Nb1 0.000 0.000 0.000
Os1 0.210 0.250 0.625
Rh1 0.000 0.000 0.500